Entry 1:
# Ge2SbAs PBE optimized geometry
data_Ge2SbAs
_cell_length_a 6.633
_cell_length_b 6.633
_cell_length_c 10.136
_cell_angle_alpha 90.00
_cell_angle_beta 90.00
_cell_angle_gamma 90.00
_symmetry_space_group_name_H-M 'I -4 2 d'
_symmetry_Int_Tables_number 122
_symmetry_space_group_name_Hall 'I -4 2bw'
loop_
_atom_site_label
_atom_site_type_symbol
_atom_site_fract_x
_atom_site_fract_y
_atom_site_fract_z
_atom_site_occupancy
Ge1 Ge 0.226 0.250 0.125 1
Sb1 Sb 0.000 0.000 0.500 1
As1 As 0.000 0.000 0.000 1
# Spin magnetization in μB/f.u.: 0.000
# Energy relative to the elements, uncorrected in eV/atom: 0.23

***

Entry 2:
# Ge2SbAs2 PBE optimized geometry
data_Ge2SbAs2
_cell_length_a 7.812
_cell_length_b 7.812
_cell_length_c 3.448
_cell_angle_alpha 90.00
_cell_angle_beta 90.00
_cell_angle_gamma 90.00
_symmetry_space_group_name_H-M 'P 4/m b m'
_symmetry_Int_Tables_number 127
_symmetry_space_group_name_Hall '-P 4 2ab'
loop_
_atom_site_label
_atom_site_type_symbol
_atom_site_fract_x
_atom_site_fract_y
_atom_site_fract_z
_atom_site_occupancy
Ge1 Ge 0.144 0.356 0.000 1
Sb1 Sb 0.000 0.000 0.000 1
As1 As 0.154 0.654 0.500 1
# Spin magnetization in μB/f.u.: 0.000
# Energy relative to the elements, uncorrected in eV/atom: 0.34

***

Entry 3:
# GeSbAs3 PBE optimized geometry
data_GeSbAs3
_cell_length_a 4.944
_cell_length_b 4.944
_cell_length_c 4.944
_cell_angle_alpha 90.00
_cell_angle_beta 90.00
_cell_angle_gamma 90.00
_symmetry_space_group_name_H-M 'P m -3 m'
_symmetry_Int_Tables_number 221
_symmetry_space_group_name_Hall '-P 4 2 3'
loop_
_atom_site_label
_atom_site_type_symbol
_atom_site_fract_x
_atom_site_fract_y
_atom_site_fract_z
_atom_site_occupancy
Ge1 Ge 0.000 0.000 0.000 1
Sb1 Sb 0.500 0.500 0.500 1
As1 As 0.000 0.000 0.500 1
# Spin magnetization in μB/f.u.: 0.000
# Energy relative to the elements, uncorrected in eV/atom: 0.69

***

Entry 4:
# GeSb2As2 PBE optimized geometry
data_GeSb2As2
_cell_length_a 3.815
_cell_length_b 3.815
_cell_length_c 16.511
_cell_angle_alpha 90.00
_cell_angle_beta 90.00
_cell_angle_gamma 90.00
_symmetry_space_group_name_H-M 'I 4/m m m'
_symmetry_Int_Tables_number 139
_symmetry_space_group_name_Hall '-I 4 2'
loop_
_atom_site_label
_atom_site_type_symbol
_atom_site_fract_x
_atom_site_fract_y
_atom_site_fract_z
_atom_site_occupancy
Ge1 Ge 0.000 0.000 0.000 1
Sb1 Sb 0.000 0.000 0.406 1
As1 As 0.000 0.500 0.250 1
# Spin magnetization in μB/f.u.: 0.000
# Energy relative to the elements, uncorrected in eV/atom: 0.29

***

Entry 5:
# GeSb2As2 PBE optimized geometry
data_GeSb2As2
_cell_length_a 7.943
_cell_length_b 7.943
_cell_length_c 3.858
_cell_angle_alpha 90.00
_cell_angle_beta 90.00
_cell_angle_gamma 90.00
_symmetry_space_group_name_H-M 'P 4/m b m'
_symmetry_Int_Tables_number 127
_symmetry_space_group_name_Hall '-P 4 2ab'
loop_
_atom_site_label
_atom_site_type_symbol
_atom_site_fract_x
_atom_site_fract_y
_atom_site_fract_z
_atom_site_occupancy
Ge1 Ge 0.000 0.000 0.000 1
Sb1 Sb 0.161 0.339 0.500 1
As1 As 0.167 0.667 0.000 1
# Spin magnetization in μB/f.u.: 0.000
# Energy relative to the elements, uncorrected in eV/atom: 0.28

***

Entry 6:
# Ge2SbAs2 PBE optimized geometry
data_Ge2SbAs2
_cell_length_a 3.820
_cell_length_b 3.820
_cell_length_c 15.149
_cell_angle_alpha 90.00
_cell_angle_beta 90.00
_cell_angle_gamma 90.00
_symmetry_space_group_name_H-M 'I 4/m m m'
_symmetry_Int_Tables_number 139
_symmetry_space_group_name_Hall '-I 4 2'
loop_
_atom_site_label
_atom_site_type_symbol
_atom_site_fract_x
_atom_site_fract_y
_atom_site_fract_z
_atom_site_occupancy
Ge1 Ge 0.000 0.000 0.100 1
Sb1 Sb 0.000 0.000 0.500 1
As1 As 0.000 0.500 0.250 1
# Spin magnetization in μB/f.u.: 0.000
# Energy relative to the elements, uncorrected in eV/atom: 0.29

***

Entry 7:
# Ge2SbAs2 PBE optimized geometry
data_Ge2SbAs2
_cell_length_a 3.866
_cell_length_b 3.866
_cell_length_c 14.694
_cell_angle_alpha 90.00
_cell_angle_beta 90.00
_cell_angle_gamma 90.00
_symmetry_space_group_name_H-M 'I 4/m m m'
_symmetry_Int_Tables_number 139
_symmetry_space_group_name_Hall '-I 4 2'
loop_
_atom_site_label
_atom_site_type_symbol
_atom_site_fract_x
_atom_site_fract_y
_atom_site_fract_z
_atom_site_occupancy
Ge1 Ge 0.000 0.500 0.250 1
Sb1 Sb 0.000 0.000 0.000 1
As1 As 0.000 0.000 0.399 1
# Spin magnetization in μB/f.u.: 0.000
# Energy relative to the elements, uncorrected in eV/atom: 0.30

***

Entry 8:
# GeSbAs2 PBE optimized geometry
data_GeSbAs2
_cell_length_a 6.982
_cell_length_b 6.982
_cell_length_c 6.982
_cell_angle_alpha 90.00
_cell_angle_beta 90.00
_cell_angle_gamma 90.00
_symmetry_space_group_name_H-M 'F m -3 m'
_symmetry_Int_Tables_number 225
_symmetry_space_group_name_Hall '-F 4 2 3'
loop_
_atom_site_label
_atom_site_type_symbol
_atom_site_fract_x
_atom_site_fract_y
_atom_site_fract_z
_atom_site_occupancy
Ge1 Ge 0.000 0.000 0.000 1
Sb1 Sb 0.000 0.000 0.500 1
As1 As 0.250 0.250 0.250 1
# Spin magnetization in μB/f.u.: 0.000
# Energy relative to the elements, uncorrected in eV/atom: 0.35

***

Entry 9:
# Sc2GeSbAs PBE optimized geometry
data_Sc2GeSbAs
_cell_length_a 5.099
_cell_length_b 5.099
_cell_length_c 4.881
_cell_angle_alpha 90.00
_cell_angle_beta 90.00
_cell_angle_gamma 90.00
_symmetry_space_group_name_H-M 'P 4/m m m'
_symmetry_Int_Tables_number 123
_symmetry_space_group_name_Hall '-P 4 2'
loop_
_atom_site_label
_atom_site_type_symbol
_atom_site_fract_x
_atom_site_fract_y
_atom_site_fract_z
_atom_site_occupancy
Sc1 Sc 0.000 0.500 0.000 1
Ge1 Ge 0.000 0.000 0.500 1
Sb1 Sb 0.500 0.500 0.500 1
As1 As 0.000 0.000 0.000 1
# Spin magnetization in μB/f.u.: 0.000
# Energy relative to the elements, uncorrected in eV/atom: -0.20

***

Entry 10:
# GeSbAsSe2 PBE optimized geometry
data_GeSbAsSe2
_cell_length_a 5.278
_cell_length_b 5.278
_cell_length_c 5.272
_cell_angle_alpha 90.00
_cell_angle_beta 90.00
_cell_angle_gamma 90.00
_symmetry_space_group_name_H-M 'P 4/m m m'
_symmetry_Int_Tables_number 123
_symmetry_space_group_name_Hall '-P 4 2'
loop_
_atom_site_label
_atom_site_type_symbol
_atom_site_fract_x
_atom_site_fract_y
_atom_site_fract_z
_atom_site_occupancy
Ge1 Ge 0.000 0.000 0.000 1
Sb1 Sb 0.500 0.500 0.500 1
As1 As 0.500 0.500 0.000 1
Se1 Se 0.000 0.500 0.500 1
# Spin magnetization in μB/f.u.: 0.000
# Energy relative to the elements, uncorrected in eV/atom: 0.70

***

Entry 11:
# GeSbAs2Se PBE optimized geometry
data_GeSbAs2Se
_cell_length_a 4.979
_cell_length_b 4.979
_cell_length_c 4.924
_cell_angle_alpha 90.00
_cell_angle_beta 90.00
_cell_angle_gamma 90.00
_symmetry_space_group_name_H-M 'P 4/m m m'
_symmetry_Int_Tables_number 123
_symmetry_space_group_name_Hall '-P 4 2'
loop_
_atom_site_label
_atom_site_type_symbol
_atom_site_fract_x
_atom_site_fract_y
_atom_site_fract_z
_atom_site_occupancy
Ge1 Ge 0.000 0.000 0.000 1
Sb1 Sb 0.500 0.500 0.500 1
As1 As 0.000 0.500 0.000 1
Se1 Se 0.000 0.000 0.500 1
# Spin magnetization in μB/f.u.: 0.000
# Energy relative to the elements, uncorrected in eV/atom: 0.58

***

Entry 12:
# GeSbAsSe2 PBE optimized geometry
data_GeSbAsSe2
_cell_length_a 4.975
_cell_length_b 4.975
_cell_length_c 4.975
_cell_angle_alpha 90.00
_cell_angle_beta 90.00
_cell_angle_gamma 90.00
_symmetry_space_group_name_H-M 'P 4/m m m'
_symmetry_Int_Tables_number 123
_symmetry_space_group_name_Hall '-P 4 2'
loop_
_atom_site_label
_atom_site_type_symbol
_atom_site_fract_x
_atom_site_fract_y
_atom_site_fract_z
_atom_site_occupancy
Ge1 Ge 0.000 0.000 0.000 1
Sb1 Sb 0.500 0.500 0.500 1
As1 As 0.000 0.000 0.500 1
Se1 Se 0.000 0.500 0.000 1
# Spin magnetization in μB/f.u.: 0.000
# Energy relative to the elements, uncorrected in eV/atom: 0.45

***

Entry 13:
# GeSbAs2Se PBE optimized geometry
data_GeSbAs2Se
_cell_length_a 5.263
_cell_length_b 5.263
_cell_length_c 5.286
_cell_angle_alpha 90.00
_cell_angle_beta 90.00
_cell_angle_gamma 90.00
_symmetry_space_group_name_H-M 'P 4/m m m'
_symmetry_Int_Tables_number 123
_symmetry_space_group_name_Hall '-P 4 2'
loop_
_atom_site_label
_atom_site_type_symbol
_atom_site_fract_x
_atom_site_fract_y
_atom_site_fract_z
_atom_site_occupancy
Ge1 Ge 0.000 0.000 0.000 1
Sb1 Sb 0.500 0.500 0.500 1
As1 As 0.000 0.500 0.500 1
Se1 Se 0.500 0.500 0.000 1
# Spin magnetization in μB/f.u.: 0.000
# Energy relative to the elements, uncorrected in eV/atom: 0.89